Li4AlCu2Si | the Open Quantum Materials Database | PBE | relaxed; raw total energy = -26.101 eV/cell; calculated volume = 103 Å³/cell
1.0
-2.944 -1.113 -2.732
-2.621 -0.787 3.144
-1.922 5.585 -0.205
Li Cu Si Al
4 2 1 1
Direct
0.000 0.000 0.000
0.500 0.500 0.500
0.000 0.500 0.238
0.500 0.000 0.762
0.500 0.000 0.237
0.000 0.500 0.763
0.500 0.500 0.000
0.000 0.000 0.500